Here is crystalline TaBeIr3 at its relaxed geometry from the Alexandria database. Energies are from GGA-PBE.

Cell: 4.757 4.757 4.757 Å, 90.00 90.00 90.00°
Space group Pm-3m (No. 221)
Inequivalent atoms, fractional coordinates:
Ta1 0.000 0.000 0.000
Be1 0.500 0.500 0.500
Ir1 0.000 0.000 0.500

Output
Magnetization ... 0.000 μB/atom
Formation energy ... 1.756 eV per atom
Calculated volume ... 21.53 A^3/atom